(1)
{"formula": "NiSe3F", "functional": "PBE with a Hubbard U", "state": "relaxed", "polymorph_energy_mev_per_atom": 0, "space_group": "Pm-3m, No. 221", "energy_ev_per_atom": -2.507, "dos_at_fermi_per_ev_atom": 1.00, "lattice": [[4.6044, 0.0000, 0.0000], [0.0000, 4.6044, 0.0000], [0.0000, 0.0000, 4.6044]], "species": ["Ni", "Se", "Se", "Se", "F"], "frac_coords": [[0.0000, 0.0000, 0.0000], [0.0000, 0.0000, 0.5000], [0.0000, 0.5000, 0.0000], [0.5000, 0.0000, 0.0000], [0.5000, 0.5000, 0.5000]]}

---

(2)
{"formula": "NiSe2F", "functional": "PBE with a Hubbard U", "state": "relaxed", "polymorph_energy_mev_per_atom": 0, "space_group": "R-3m, No. 166", "energy_ev_per_atom": -3.115, "dos_at_fermi_per_ev_atom": 0.26, "lattice": [[1.8094, 1.0446, 6.7209], [-1.8094, 1.0446, 6.7209], [0.0000, -2.0893, 6.7209]], "species": ["Ni", "Se", "Se", "F"], "frac_coords": [[0.0000, 0.0000, 0.0000], [0.3913, 0.3913, 0.3913], [0.6087, 0.6087, 0.6087], [0.5000, 0.5000, 0.5000]]}

---

(3)
{"formula": "NiSe3F", "functional": "PBE with a Hubbard U", "state": "relaxed", "polymorph_energy_mev_per_atom": 412, "space_group": "Pm-3m, No. 221", "energy_ev_per_atom": -2.095, "dos_at_fermi_per_ev_atom": 0.86, "lattice": [[4.6111, 0.0000, 0.0000], [0.0000, 4.6111, 0.0000], [0.0000, 0.0000, 4.6111]], "species": ["Ni", "Se", "Se", "Se", "F"], "frac_coords": [[0.0000, 0.0000, 0.0000], [0.0000, 0.5000, 0.5000], [0.5000, 0.0000, 0.5000], [0.5000, 0.5000, 0.0000], [0.5000, 0.5000, 0.5000]]}

---

(4)
{"formula": "NiSeF2", "functional": "PBE with a Hubbard U", "state": "relaxed", "polymorph_energy_mev_per_atom": 0, "space_group": "R-3m, No. 166", "energy_ev_per_atom": -3.823, "dos_at_fermi_per_ev_atom": 0.34, "lattice": [[1.4815, 0.8554, 9.2887], [-1.4815, 0.8554, 9.2887], [0.0000, -1.7107, 9.2887]], "species": ["Ni", "Se", "F", "F"], "frac_coords": [[0.0000, 0.0000, 0.0000], [0.5000, 0.5000, 0.5000], [0.3710, 0.3710, 0.3710], [0.6290, 0.6290, 0.6290]]}